[1]
A plane-wave DFT calculation with GGA-PBE was carried out for a relaxed HfAlAu crystal.

The structure in POSCAR format:
```
HfAlAu
1.0
5.696 -1.733 0.000
5.696 1.733 0.000
-4.826 0.000 5.666
Hf Al Au
2 2 2
direct
0.000 0.000 0.000
0.192 0.192 0.690
0.740 0.740 0.052
0.741 0.741 0.422
0.458 0.458 0.651
0.459 0.459 0.267
```

Properties
energy of formation from the pure elements: -1.37 eV per formula unit
electronic total energy: -6.113 eV/atom
Fermi-level density of states: 0.4342 states/eV/atom
size of the total moment: 0.0 μB per cell

***

[2]
A plane-wave DFT calculation with GGA-PBE was carried out for a relaxed NaBiPbF6 crystal.

The structure in POSCAR format:
```
NaBiPbF6
1.0
6.045 0.000 0.000
-3.023 5.235 0.000
0.000 0.000 10.430
Na Bi Pb F
2 2 2 12
direct
0.333 0.667 0.250
0.667 0.333 0.750
0.333 0.667 0.750
0.667 0.333 0.250
0.000 0.000 0.000
0.000 0.000 0.500
0.008 0.347 0.635
0.008 0.662 0.865
0.338 0.347 0.865
0.338 0.992 0.635
0.347 0.008 0.135
0.347 0.338 0.365
0.653 0.662 0.635
0.653 0.992 0.865
0.662 0.008 0.365
0.662 0.653 0.135
0.992 0.338 0.135
0.992 0.653 0.365
```

Properties
formation energy without anion corrections: -2.49 eV/atom
electronic total energy: -4.730 eV/atom
Fermi-level density of states: 0.0000 states/eV/atom
size of the total moment: 0.0 μB per cell

***

[3]
A plane-wave DFT calculation with GGA-PBE was carried out for a relaxed Np3PaSe4 crystal.

The structure in POSCAR format:
```
Np3PaSe4
1.0
5.779 0.000 0.000
0.000 5.779 0.000
0.000 0.000 5.779
Np Pa Se
3 1 4
direct
0.000 0.000 0.500
0.000 0.500 0.000
0.500 0.000 0.000
0.500 0.500 0.500
0.000 0.000 0.000
0.000 0.500 0.500
0.500 0.000 0.500
0.500 0.500 0.000
```

Properties
excess energy over the best structure of this formula in the dataset: 0.0164 eV per atom
formation energy without anion corrections: -1.08 eV/atom
electronic total energy: -8.866 eV/atom
Fermi-level density of states: 3.7133 states/eV/atom
size of the total moment: 13.5 μB per cell